(1)
NpB4Ru4 | GGA-PBE | optimized geometry

Values from the calculation:
Space group: P4_2/n, No. 86

Geometry as CIF:
```
data_NpB4Ru4
_cell_length_a 4.0465
_cell_length_b 7.4449
_cell_length_c 7.4449
_cell_angle_alpha 90.00
_cell_angle_beta 90.00
_cell_angle_gamma 90.00
_space_group_name_H-M_alt 'P 1'
_space_group_IT_number 1
loop_
_space_group_symop_operation_xyz
'x,y,z'
loop_
_atom_site_label
_atom_site_fract_x
_atom_site_fract_y
_atom_site_fract_z
Ru1 0.3878 0.6422 0.1130
Ru2 0.8878 0.3870 0.1422
B1 0.3868 0.2883 0.1647
Np1 0.0000 0.0000 0.0000
Ru3 0.6122 0.8870 0.6422
Ru4 0.1122 0.1422 0.6130
B2 0.6132 0.8353 0.2883
B3 0.8868 0.6647 0.2117
Np2 0.5000 0.5000 0.5000
Ru5 0.3878 0.3578 0.8870
B4 0.1132 0.2117 0.3353
B5 0.6132 0.1647 0.7117
B6 0.1132 0.7883 0.6647
Ru6 0.6122 0.1130 0.3578
B7 0.8868 0.3353 0.7883
B8 0.3868 0.7117 0.8353
Ru7 0.8878 0.6130 0.8578
Ru8 0.1122 0.8578 0.3870
```

***

(2)
Zr2PbCl | GGA-PBE | optimized geometry

Values from the calculation:
E above lowest polymorph, eV per atom: 0.6629
Space group: I-42d, No. 122

Geometry as CIF:
```
data_Zr2PbCl
_cell_length_a 5.2524
_cell_length_b 5.2524
_cell_length_c 8.8796
_cell_angle_alpha 72.80
_cell_angle_beta 72.80
_cell_angle_gamma 90.00
_space_group_name_H-M_alt 'P 1'
_space_group_IT_number 1
loop_
_space_group_symop_operation_xyz
'x,y,z'
loop_
_atom_site_label
_atom_site_fract_x
_atom_site_fract_y
_atom_site_fract_z
Zr1 0.8750 0.7923 0.7500
Zr2 0.2077 0.6250 0.2500
Pb1 0.7500 0.2500 0.5000
Cl1 0.2500 0.7500 0.5000
Cl2 0.5000 0.5000 0.0000
Zr3 0.5423 0.1250 0.2500
Pb2 0.0000 0.0000 0.0000
Zr4 0.3750 0.4577 0.7500
```

***

(3)
Ac2TeP | GGA-PBE | optimized geometry

Values from the calculation:
E above lowest polymorph, eV per atom: 0.3742
Space group: Fm-3m, No. 225

Geometry as CIF:
```
data_Ac2TeP
_cell_length_a 5.5572
_cell_length_b 5.5572
_cell_length_c 5.5572
_cell_angle_alpha 60.00
_cell_angle_beta 60.00
_cell_angle_gamma 60.00
_space_group_name_H-M_alt 'P 1'
_space_group_IT_number 1
loop_
_space_group_symop_operation_xyz
'x,y,z'
loop_
_atom_site_label
_atom_site_fract_x
_atom_site_fract_y
_atom_site_fract_z
Te1 0.0000 0.0000 0.0000
P1 0.5000 0.5000 0.5000
Ac1 0.2500 0.2500 0.2500
Ac2 0.7500 0.7500 0.7500
```

***

(4)
LiCa2Mg | GGA-PBE | optimized geometry

Values from the calculation:
Space group: I-42d, No. 122

Geometry as CIF:
```
data_LiCa2Mg
_cell_length_a 8.7227
_cell_length_b 8.7227
_cell_length_c 7.0586
_cell_angle_alpha 51.84
_cell_angle_beta 51.84
_cell_angle_gamma 90.00
_space_group_name_H-M_alt 'P 1'
_space_group_IT_number 1
loop_
_space_group_symop_operation_xyz
'x,y,z'
loop_
_atom_site_label
_atom_site_fract_x
_atom_site_fract_y
_atom_site_fract_z
Ca1 0.3750 0.3928 0.7500
Ca2 0.6072 0.1250 0.2500
Mg1 0.0000 0.0000 0.0000
Li1 0.2500 0.7500 0.5000
Mg2 0.7500 0.2500 0.5000
Li2 0.5000 0.5000 0.0000
Ca3 0.1428 0.6250 0.2500
Ca4 0.8750 0.8572 0.7500
```

***

(5)
IrPtS | GGA-PBE | optimized geometry

Values from the calculation:
E above lowest polymorph, eV per atom: 0.0311
Space group: P1, No. 1

Geometry as CIF:
```
data_IrPtS
_cell_length_a 3.5132
_cell_length_b 5.2430
_cell_length_c 6.0087
_cell_angle_alpha 108.69
_cell_angle_beta 103.46
_cell_angle_gamma 94.96
_space_group_name_H-M_alt 'P 1'
_space_group_IT_number 1
loop_
_space_group_symop_operation_xyz
'x,y,z'
loop_
_atom_site_label
_atom_site_fract_x
_atom_site_fract_y
_atom_site_fract_z
Pt1 0.3185 0.2143 0.0782
Pt2 0.7242 0.2923 0.7362
Ir1 0.3748 0.6760 0.9813
Ir2 0.1488 0.8448 0.5990
S1 0.5641 0.5335 0.4854
S2 0.9975 0.8843 0.2152
```

***

(6)
Ca2ScTc | GGA-PBE | optimized geometry

Values from the calculation:
E above lowest polymorph, eV per atom: 0.4640
Space group: C2/m, No. 12

Geometry as CIF:
```
data_Ca2ScTc
_cell_length_a 6.0112
_cell_length_b 6.0329
_cell_length_c 3.1510
_cell_angle_alpha 82.96
_cell_angle_beta 73.85
_cell_angle_gamma 115.19
_space_group_name_H-M_alt 'P 1'
_space_group_IT_number 1
loop_
_space_group_symop_operation_xyz
'x,y,z'
loop_
_atom_site_label
_atom_site_fract_x
_atom_site_fract_y
_atom_site_fract_z
Ca1 0.5000 0.0000 0.5000
Sc1 0.0000 0.5000 0.5000
Ca2 0.0000 0.0000 0.0000
Tc1 0.5000 0.5000 0.0000
```

***

E_tot (eV/atom)
-8.850; -5.511; -5.385; -1.684; -6.336; -4.585